Record 1
# Li3OsSe, optimized geometry, DFT GGA-PBE
# Total energy = -3.2678 eV/atom
# E_form (uncorrected) = 823 meV per atom
# ΔE to the lowest computed polymorph = 322 meV per atom
data_Li3OsSe
_chemical_formula_sum 'Li3 Os1 Se1'
_cell_length_a 4.8604
_cell_length_b 4.8604
_cell_length_c 4.8604
_cell_angle_alpha 90.00
_cell_angle_beta 90.00
_cell_angle_gamma 90.00
_symmetry_space_group_name_H-M 'P m -3 m'
_symmetry_Int_Tables_number 221
_symmetry_space_group_name_Hall '-P 4 2 3'
loop_
_atom_site_label
_atom_site_type_symbol
_atom_site_fract_x
_atom_site_fract_y
_atom_site_fract_z
_atom_site_occupancy
Li1 Li 0.0000 0.0000 0.5000 1
Os1 Os 0.0000 0.0000 0.0000 1
Se1 Se 0.5000 0.5000 0.5000 1


Record 2
# Li2OsSe, optimized geometry, DFT GGA-PBE
# Total energy = -4.5880 eV/atom
# E_form (uncorrected) = 47 meV per atom
data_Li2OsSe
_chemical_formula_sum 'Li2 Os1 Se1'
_cell_length_a 3.3615
_cell_length_b 3.3615
_cell_length_c 4.9445
_cell_angle_alpha 90.00
_cell_angle_beta 90.00
_cell_angle_gamma 90.00
_symmetry_space_group_name_H-M 'P 4/m m m'
_symmetry_Int_Tables_number 123
_symmetry_space_group_name_Hall '-P 4 2'
loop_
_atom_site_label
_atom_site_type_symbol
_atom_site_fract_x
_atom_site_fract_y
_atom_site_fract_z
_atom_site_occupancy
Li1 Li 0.0000 0.0000 0.2502 1
Os1 Os 0.5000 0.5000 0.0000 1
Se1 Se 0.5000 0.5000 0.5000 1


Record 3
# LiOsSe, optimized geometry, DFT GGA-PBE
# Total energy = -5.1315 eV/atom
# E_form (uncorrected) = 411 meV per atom
# ΔE to the lowest computed polymorph = 291 meV per atom
data_LiOsSe
_chemical_formula_sum 'Li4 Os4 Se4'
_cell_length_a 5.8121
_cell_length_b 5.8121
_cell_length_c 5.8121
_cell_angle_alpha 90.00
_cell_angle_beta 90.00
_cell_angle_gamma 90.00
_symmetry_space_group_name_H-M 'F -4 3 m'
_symmetry_Int_Tables_number 216
_symmetry_space_group_name_Hall 'F -4 2 3'
loop_
_atom_site_label
_atom_site_type_symbol
_atom_site_fract_x
_atom_site_fract_y
_atom_site_fract_z
_atom_site_occupancy
Li1 Li 0.0000 0.0000 0.0000 1
Os1 Os 0.2500 0.2500 0.2500 1
Se1 Se 0.0000 0.0000 0.5000 1


Record 4
# LiOsSe, optimized geometry, DFT GGA-PBE
# Total energy = -5.3506 eV/atom
# E_form (uncorrected) = 192 meV per atom
# ΔE to the lowest computed polymorph = 72 meV per atom
data_LiOsSe
_chemical_formula_sum 'Li1 Os1 Se1'
_cell_length_a 3.0009
_cell_length_b 3.0009
_cell_length_c 6.2196
_cell_angle_alpha 90.00
_cell_angle_beta 90.00
_cell_angle_gamma 120.00
_symmetry_space_group_name_H-M 'P 3 m 1'
_symmetry_Int_Tables_number 156
_symmetry_space_group_name_Hall 'P 3 -2"'
loop_
_atom_site_label
_atom_site_type_symbol
_atom_site_fract_x
_atom_site_fract_y
_atom_site_fract_z
_atom_site_occupancy
Li1 Li 0.0000 0.0000 0.0000 1
Os1 Os 0.6667 0.3333 0.3470 1
Se1 Se 0.3333 0.6667 0.6316 1


What is the total energy in the first record?
-3.2678 eV/atom


The highest total energy belongs to which entry?
Li3OsSe


Among the records above, which one has the lowest total energy?
number 4